Y2ScCu4Si2Ge2 | PBE | relaxed

Unit cell a=7.8608 b=7.8608 c=7.8608 alpha=149.63 beta=131.16 gamma=58.60
Closest atoms and distances in Å follow each position.
Fractional positions:
Cu1 0.6346 0.3258 0.3089  3 Si 2.46-2.53, 1 Cu 2.48, 1 Ge 2.49
Cu2 0.9831 0.6742 0.3089  3 Si 2.46-2.53, 1 Cu 2.48, 1 Ge 2.49
Cu3 0.3654 0.6742 0.6911  3 Si 2.46-2.53, 1 Cu 2.48, 1 Ge 2.49
Cu4 0.0169 0.3258 0.6911  3 Si 2.46-2.53, 1 Cu 2.48, 1 Ge 2.49
Ge1 0.7019 0.5000 0.2019  2 Cu 2.49, 1 Ge 2.62
Ge2 0.2981 0.5000 0.7981  2 Cu 2.49, 1 Ge 2.62
Sc1 0.0000 0.0000 0.0000  4 Ge 2.83, 2 Si 2.92
Si1 0.2132 0.2132 0.0000  6 Cu 2.46-2.53
Si2 0.7868 0.7868 0.0000  6 Cu 2.46-2.53
Y1 0.6290 0.1290 0.5000  6 Cu 2.94-2.97, 2 Si 2.99, 4 Ge 3.01
Y2 0.3710 0.8710 0.5000  6 Cu 2.94-2.97, 2 Si 2.99, 4 Ge 3.01

Properties
final energy: -61.011 eV per formula unit
spin magnetization: 0.0 Bohr magnetons per cell
V: 16.68 Å³ per atom